VASP calculation (GGA-PBE) on an optimized crystal structure of DyTmTh2Sc.

## Properties
- M_tot (Bohr magnetons per cell) = 0.0
- formation energy (eV/f.u.) = 0.8

abc: 8.327 3.442 11.530
angles: 90.00 109.86 90.00
Space group P2_1/m (No. 11)
One atom of each set of equivalent atoms:
Dy 0.200 0.250 0.055
Tm 0.050 0.750 0.270
Th 0.413 0.250 0.854
Th 0.441 0.250 0.362
Sc 0.187 0.250 0.542